InAg2P2O6, relaxed, DFT PBE; total energy = -5.85 eV per atom; density = 5.0 g/cm³
1.0
5.075 0.000 0.000
-2.537 4.395 0.000
0.000 0.000 7.210
In Ag P O
1 2 2 6
Direct
0.000 0.000 0.000
0.333 0.667 0.422
0.667 0.333 0.578
0.333 0.667 0.753
0.667 0.333 0.247
0.049 0.683 0.818
0.317 0.367 0.818
0.367 0.049 0.182
0.633 0.951 0.818
0.683 0.633 0.182
0.951 0.317 0.182

=====

InAgPO2, relaxed, DFT PBE; energy above the lowest structure with this stoichiometry = 3.750 kcal/mol of atoms; total energy = -3.82 eV per atom; density = 5.7 g/cm³
1.0
4.069 0.000 0.000
0.000 4.069 0.000
0.000 0.000 4.991
In Ag P O
1 1 1 2
Direct
0.000 0.000 0.000
0.500 0.500 0.500
0.500 0.500 0.000
0.000 0.500 0.500
0.500 0.000 0.500

=====

InAgPO2, relaxed, DFT PBE; energy above the lowest structure with this stoichiometry = 0.000 kcal/mol of atoms; total energy = -3.98 eV per atom; density = 5.1 g/cm³
1.0
4.000 0.000 0.000
0.000 4.000 0.000
0.000 0.000 5.860
In Ag P O
1 1 1 2
Direct
0.000 0.000 0.000
0.500 0.500 0.500
0.000 0.000 0.500
0.000 0.500 0.000
0.500 0.000 0.000

=====

InAgP2O8, relaxed, DFT PBE; total energy = -6.14 eV per atom; density = 4.4 g/cm³
1.0
2.469 1.426 7.304
-2.469 1.426 7.304
0.000 -2.851 7.304
In Ag P O
1 1 2 8
Direct
0.000 0.000 0.000
0.500 0.500 0.500
0.253 0.253 0.253
0.747 0.747 0.747
0.023 0.729 0.427
0.181 0.181 0.181
0.271 0.573 0.977
0.427 0.023 0.729
0.573 0.977 0.271
0.729 0.427 0.023
0.819 0.819 0.819
0.977 0.271 0.573

=====

Pa2InAgO8, relaxed, DFT PBE; total energy = -7.63 eV per atom; density = 8.6 g/cm³
1.0
-2.690 2.690 5.429
2.690 -2.690 5.429
2.690 2.690 -5.429
Pa In Ag O
2 1 1 8
Direct
0.000 0.000 0.000
0.750 0.250 0.500
0.500 0.500 0.000
0.250 0.750 0.500
0.089 0.099 0.457
0.137 0.612 0.971
0.368 0.911 0.010
0.388 0.359 0.525
0.641 0.166 0.029
0.643 0.632 0.543
0.834 0.863 0.475
0.901 0.357 0.990

=====

PaInAgO6, relaxed, DFT PBE; total energy = -6.62 eV per atom; density = 7.4 g/cm³
1.0
5.447 0.000 0.000
-2.723 4.717 0.000
0.000 0.000 4.805
Pa In Ag O
1 1 1 6
Direct
0.000 0.000 0.000
0.333 0.667 0.500
0.667 0.333 0.500
0.333 0.006 0.742
0.333 0.328 0.258
0.672 0.006 0.258
0.672 0.667 0.742
0.994 0.328 0.742
0.994 0.667 0.258

=====

In2Ag2PbO6, relaxed, DFT PBE; total energy = -4.95 eV per atom; density = 7.4 g/cm³
1.0
2.909 -4.959 0.000
2.909 4.959 0.000
-2.650 0.000 5.854
In Ag Pb O
2 2 1 6
Direct
0.165 0.835 0.000
0.835 0.165 0.000
0.318 0.682 0.500
0.682 0.318 0.500
0.500 0.500 0.000
0.075 0.416 0.808
0.262 0.262 0.197
0.416 0.075 0.808
0.584 0.925 0.192
0.738 0.738 0.803
0.925 0.584 0.192

=====

PmIn4AgO8, relaxed, DFT PBE; total energy = -5.78 eV per atom; density = 6.7 g/cm³
1.0
3.336 1.926 5.442
-3.336 1.926 5.442
0.000 -3.852 5.442
Pm In Ag O
1 4 1 8
Direct
0.000 0.000 0.000
0.116 0.620 0.620
0.237 0.237 0.237
0.620 0.116 0.620
0.620 0.620 0.116
0.618 0.618 0.618
0.359 0.359 0.847
0.359 0.847 0.359
0.372 0.372 0.372
0.405 0.872 0.872
0.847 0.359 0.359
0.859 0.859 0.859
0.872 0.405 0.872
0.872 0.872 0.405

=====

Pr2InAgO5, relaxed, DFT PBE; total energy = -6.54 eV per atom; density = 6.5 g/cm³
1.0
1.804 -6.687 0.000
1.804 6.687 0.000
0.000 0.000 12.312
Pr In Ag O
4 2 2 10
Direct
0.084 0.916 0.500
0.152 0.848 0.101
0.848 0.152 0.601
0.916 0.084 0.000
0.223 0.777 0.838
0.777 0.223 0.338
0.476 0.524 0.278
0.524 0.476 0.778
0.084 0.916 0.911
0.257 0.743 0.536
0.269 0.731 0.246
0.373 0.627 0.888
0.486 0.514 0.600
0.514 0.486 0.100
0.627 0.373 0.388
0.731 0.269 0.746
0.743 0.257 0.036
0.916 0.084 0.411

=====

InAgPtO4, relaxed, DFT PBE; total energy = -5.27 eV per atom; density = 8.1 g/cm³
1.0
-3.202 3.313 4.650
3.202 -3.313 4.650
3.202 3.313 -4.650
In Ag Pt O
2 2 2 8
Direct
0.000 0.000 0.000
0.500 0.000 0.500
0.378 0.628 0.750
0.622 0.372 0.250
0.000 0.000 0.500
0.000 0.500 0.000
0.189 0.240 0.948
0.208 0.760 0.448
0.221 0.194 0.473
0.221 0.748 0.027
0.779 0.252 0.973
0.779 0.806 0.527
0.792 0.240 0.552
0.811 0.760 0.052

=====

PuIn2AgO8, relaxed, DFT PBE; total energy = -6.62 eV per atom; density = 7.1 g/cm³
1.0
4.961 0.000 0.000
0.346 4.986 0.000
0.520 0.467 6.743
Pu In Ag O
1 2 1 8
Direct
0.000 0.000 0.000
0.471 0.472 0.260
0.529 0.528 0.740
0.000 0.000 0.500
0.178 0.165 0.244
0.216 0.200 0.815
0.295 0.689 0.502
0.295 0.691 0.001
0.705 0.309 0.999
0.705 0.311 0.498
0.784 0.800 0.185
0.822 0.835 0.756

=====

Pu2InAgO8, relaxed, DFT PBE; total energy = -7.96 eV per atom; density = 9.3 g/cm³
1.0
-2.666 2.666 5.278
2.666 -2.666 5.278
2.666 2.666 -5.278
Pu In Ag O
2 1 1 8
Direct
0.000 0.000 0.000
0.750 0.250 0.500
0.250 0.750 0.500
0.500 0.500 0.000
0.102 0.143 0.480
0.102 0.637 0.015
0.363 0.378 0.466
0.378 0.898 0.042
0.622 0.088 0.985
0.663 0.622 0.520
0.857 0.337 0.958
0.912 0.898 0.534

=====

Which of these has the lowest total energy?
Pu2InAgO8